1.
Density functional theory data (PBE) for Li2MnPbSe after structural relaxation.

Unit cell a=4.715 b=4.715 c=4.904 alpha=90.00 beta=90.00 gamma=90.00
Fractional positions:
Li1 0.000 0.500 0.000
Li2 0.500 0.000 0.000
Mn1 0.000 0.000 0.500
Pb1 0.500 0.500 0.500
Se1 0.000 0.000 0.000

Results
Formation energy from raw total energies (eV/atom): -0.2469
Magnetization (μB/cell): 3.5
N(E_F) (states/eV/f.u.): 2.8
Energy (eV/atom): -4.285



2.
Density functional theory data (PBE) for LiMnSnPb after structural relaxation.

Unit cell a=4.921 b=4.921 c=4.921 alpha=60.00 beta=60.00 gamma=60.00
Fractional positions:
Li1 0.000 0.000 0.000
Mn1 0.500 0.500 0.500
Sn1 0.250 0.250 0.250
Pb1 0.750 0.750 0.750

Results
Magnetization (μB/cell): 3.7
N(E_F) (states/eV/f.u.): 3.0
Energy of formation from the pure elements (eV/atom): 0.0615
Energy (eV/atom): -4.637